Record 1
Below is BC5 after structural relaxation, with properties calculated at the PBE-GGA level.

Properties
energy of formation: 0.26 eV/atom
DOS at the Fermi energy: 1.5 states/eV/cell

abc: 5.854 5.854 5.154
angles: 103.06 103.06 24.87
Positions (direct):
B (0.330, 0.330, 0.166)
B (0.995, 0.995, 0.500)
C (0.001, 0.001, 0.999)
C (0.925, 0.925, 0.200)
C (0.249, 0.249, 0.380)
C (0.912, 0.912, 0.712)
C (0.667, 0.667, 0.337)
C (0.592, 0.592, 0.546)
C (0.331, 0.331, 0.672)
C (0.246, 0.246, 0.868)
C (0.667, 0.667, 0.832)
C (0.584, 0.584, 0.039)

***

Record 2
Below is CeHf2Ni after structural relaxation, with properties calculated at the PBE-GGA level.

Properties
energy of formation: 0.15 eV/atom
DOS at the Fermi energy: 8.8 states/eV/cell

abc: 4.292 4.292 6.203
angles: 69.76 69.76 60.00
Each line ends with the local moment (μB).
Positions (direct):
Ce (0.494, 0.494, 0.518)  0.66
Hf (0.050, 0.050, 0.851)  0.03
Hf (0.278, 0.278, 0.167)  0.12
Ni (0.679, 0.679, 0.964)  0.07

***

Record 3
Below is ZrCoRe3 after structural relaxation, with properties calculated at the PBE-GGA level.

Properties
energy of formation: 2.97 eV/atom
DOS at the Fermi energy: 7.6 states/eV/cell

abc: 4.717 4.717 4.717
angles: 90.00 90.00 90.00
Positions (direct):
Re (0.000, 0.500, 0.000)
Re (0.000, 0.000, 0.500)
Re (0.500, 0.000, 0.000)
Co (0.500, 0.500, 0.500)
Zr (0.000, 0.000, 0.000)

***

Record 4
Below is LaMn2Cd after structural relaxation, with properties calculated at the PBE-GGA level.

Properties
energy of formation: 0.34 eV/atom
DOS at the Fermi energy: 4.3 states/eV/cell

abc: 5.427 5.427 5.427
angles: 132.02 132.02 70.20
Each line ends with the local moment (μB).
Positions (direct):
Cd (0.500, 0.500, 0.000)  -0.07
La (0.750, 0.250, 0.500)  -0.27
Mn (0.000, 0.000, 0.000)  3.60
Mn (0.250, 0.750, 0.500)  3.40

***

Record 5
Below is Ti3InAs after structural relaxation, with properties calculated at the PBE-GGA level.

Properties
energy of formation: -0.17 eV/atom
DOS at the Fermi energy: 11.7 states/eV/cell

abc: 4.943 6.456 6.861
angles: 86.17 90.00 112.51
Positions (direct):
Ti (0.032, 0.064, 0.218)
Ti (0.968, 0.936, 0.782)
Ti (0.706, 0.412, 0.809)
Ti (0.294, 0.588, 0.191)
Ti (0.835, 0.669, 0.467)
Ti (0.165, 0.331, 0.533)
In (0.394, 0.789, 0.645)
In (0.606, 0.211, 0.355)
As (0.158, 0.316, 0.909)
As (0.842, 0.684, 0.091)

***

Record 6
Below is CsNa2LiPd after structural relaxation, with properties calculated at the PBE-GGA level.

Properties
energy of formation: 0.03 eV/atom
DOS at the Fermi energy: 2.3 states/eV/cell

abc: 5.809 5.809 5.197
angles: 90.00 90.00 90.00
Positions (direct):
Cs (0.500, 0.500, 0.500)
Na (0.000, 0.500, 0.000)
Na (0.500, 0.000, 0.000)
Pd (0.000, 0.000, 0.000)
Li (0.000, 0.000, 0.500)

***

Record 7
Below is Tc2SbCl after structural relaxation, with properties calculated at the PBE-GGA level.

Properties
DOS at the Fermi energy: 6.6 states/eV/cell
raw total energy: -54.1 eV for the cell shown

abc: 3.070 5.635 9.909
angles: 90.00 98.20 90.00
Positions (direct):
Sb (0.215, 0.500, 0.771)
Sb (0.043, 0.000, 0.381)
Tc (0.278, 0.000, 0.741)
Tc (0.623, 0.738, 0.573)
Tc (0.623, 0.262, 0.573)
Tc (0.086, 0.500, 0.383)
Cl (0.832, 0.000, 0.939)
Cl (0.476, 0.500, 0.190)

***

Record 8
Below is BaAu3S after structural relaxation, with properties calculated at the PBE-GGA level.

Properties
DOS at the Fermi energy: 2.5 states/eV/cell
raw total energy: -16.9 eV for the cell shown

abc: 5.054 5.054 5.054
angles: 90.00 90.00 90.00
Positions (direct):
S (0.000, 0.000, 0.000)
Au (0.000, 0.500, 0.000)
Au (0.000, 0.000, 0.500)
Au (0.500, 0.000, 0.000)
Ba (0.500, 0.500, 0.500)

***

Record 9
Below is AuC3N after structural relaxation, with properties calculated at the PBE-GGA level.

Properties
DOS at the Fermi energy: 4.4 states/eV/cell
raw total energy: -18.9 eV for the cell shown

abc: 4.152 4.152 4.152
angles: 90.00 90.00 90.00
Each line ends with the local moment (μB).
Positions (direct):
C (0.000, 0.500, 0.000)  0.61
C (0.000, 0.000, 0.500)  0.75
C (0.500, 0.000, 0.000)  0.52
Au (0.000, 0.000, 0.000)  0.29
N (0.500, 0.500, 0.500)  -1.42

***

Record 10
Below is LiHoScRh after structural relaxation, with properties calculated at the PBE-GGA level.

Properties
energy of formation: -0.51 eV/atom
DOS at the Fermi energy: 2.6 states/eV/cell

abc: 4.777 4.777 4.777
angles: 60.00 60.00 60.00
Positions (direct):
Sc (0.250, 0.250, 0.250)
Rh (0.500, 0.500, 0.500)
Ho (0.750, 0.750, 0.750)
Li (0.000, 0.000, 0.000)

***

Record 11
Below is KTcBi2H after structural relaxation, with properties calculated at the PBE-GGA level.

Properties
DOS at the Fermi energy: 3.0 states/eV/cell
raw total energy: -18.8 eV for the cell shown

abc: 4.936 4.619 4.936
angles: 90.00 90.00 90.00
Each line ends with the local moment (μB).
Positions (direct):
H (0.000, 0.000, 0.000)  -0.01
K (0.000, 0.500, 0.000)  0.00
Bi (0.000, 0.000, 0.500)  -0.04
Bi (0.500, 0.000, 0.000)  -0.06
Tc (0.500, 0.500, 0.500)  2.66

***

Record 12
Below is SrHfTi2P after structural relaxation, with properties calculated at the PBE-GGA level.

Properties
energy of formation: -0.02 eV/atom
DOS at the Fermi energy: 4.5 states/eV/cell

abc: 4.783 5.025 4.783
angles: 90.00 90.00 90.00
Positions (direct):
Sr (0.500, 0.500, 0.500)
Hf (0.000, 0.500, 0.000)
P (0.000, 0.000, 0.000)
Ti (0.000, 0.000, 0.500)
Ti (0.500, 0.000, 0.000)

***

Record 13
Below is Hg3AsCl3 after structural relaxation, with properties calculated at the PBE-GGA level.

Properties
DOS at the Fermi energy: 7.0 states/eV/cell
raw total energy: -25.3 eV for the cell shown

abc: 6.498 9.316 9.316
angles: 120.00 90.00 90.00
Each line ends with the local moment (μB).
Positions (direct):
Hg (0.750, 0.646, 0.822)  0.01
Hg (0.750, 0.176, 0.354)  0.01
Hg (0.750, 0.178, 0.824)  0.01
Hg (0.250, 0.354, 0.178)  0.01
Hg (0.250, 0.824, 0.646)  0.01
Hg (0.250, 0.822, 0.176)  0.01
As (0.750, 0.333, 0.667)  0.17
As (0.250, 0.667, 0.333)  0.17
Cl (0.250, 0.709, 0.854)  0.00
Cl (0.250, 0.145, 0.291)  0.00
Cl (0.250, 0.146, 0.855)  0.00
Cl (0.750, 0.291, 0.146)  0.00
Cl (0.750, 0.855, 0.709)  0.00
Cl (0.750, 0.854, 0.145)  0.00

***

Record 14
Below is Na3PaSb2Te6 after structural relaxation, with properties calculated at the PBE-GGA level.

Properties
DOS at the Fermi energy: 8.1 states/eV/cell
raw total energy: -47.3 eV for the cell shown

abc: 7.848 7.848 7.866
angles: 99.55 99.55 120.06
Each line ends with the local moment (μB).
Positions (direct):
Na (0.172, 0.828, 0.500)  0.00
Na (0.828, 0.172, 0.500)  0.00
Na (0.500, 0.500, 0.500)  0.00
Pa (0.000, 0.000, 0.000)  1.27
Sb (0.335, 0.665, 0.000)  0.09
Sb (0.665, 0.335, 0.000)  0.09
Te (0.923, 0.591, 0.770)  -0.01
Te (0.746, 0.746, 0.233)  -0.01
Te (0.077, 0.409, 0.230)  -0.01
Te (0.591, 0.923, 0.770)  -0.01
Te (0.254, 0.254, 0.767)  -0.01
Te (0.409, 0.077, 0.230)  -0.01

***

Record 15
Below is Rb2AlS after structural relaxation, with properties calculated at the PBE-GGA level.

Properties
DOS at the Fermi energy: 0.7 states/eV/cell
raw total energy: -21.4 eV for the cell shown

abc: 12.810 12.810 9.381
angles: 46.94 46.94 90.00
Each line ends with the local moment (μB).
Positions (direct):
S (0.000, 0.000, 0.000)  0.04
S (0.750, 0.250, 0.500)  0.04
Al (0.500, 0.500, 0.000)  0.06
Al (0.250, 0.750, 0.500)  0.06
Rb (0.814, 0.125, 0.250)  0.02
Rb (0.936, 0.625, 0.250)  0.02
Rb (0.375, 0.186, 0.750)  0.02
Rb (0.875, 0.064, 0.750)  0.02

***

Record 16
Below is CdAg5Br8 after structural relaxation, with properties calculated at the PBE-GGA level.

Properties
DOS at the Fermi energy: 8.6 states/eV/cell
raw total energy: -34.1 eV for the cell shown

abc: 8.027 8.027 8.027
angles: 107.30 107.30 113.91
Positions (direct):
Cd (0.250, 0.750, 0.500)
Ag (0.861, 0.333, 0.948)
Ag (0.667, 0.615, 0.528)
Ag (0.385, 0.914, 0.052)
Ag (0.500, 0.500, 0.000)
Ag (0.086, 0.139, 0.472)
Br (0.105, 0.838, 0.216)
Br (0.162, 0.377, 0.267)
Br (0.656, 0.873, 0.308)
Br (0.127, 0.434, 0.782)
Br (0.652, 0.344, 0.218)
Br (0.110, 0.895, 0.733)
Br (0.623, 0.890, 0.784)
Br (0.566, 0.348, 0.692)

***

Record 17
Below is Ag2Sb after structural relaxation, with properties calculated at the PBE-GGA level.

Properties
DOS at the Fermi energy: 2.3 states/eV/cell
raw total energy: -18.5 eV for the cell shown

abc: 10.301 10.301 10.301
angles: 162.69 155.20 30.40
Positions (direct):
Ag (0.293, 0.043, 0.250)
Ag (0.707, 0.957, 0.750)
Ag (0.441, 0.191, 0.250)
Ag (0.559, 0.809, 0.750)
Sb (0.866, 0.616, 0.250)
Sb (0.134, 0.384, 0.750)

***

Record 18
Below is LiHoPaFe after structural relaxation, with properties calculated at the PBE-GGA level.

Properties
energy of formation: 0.20 eV/atom
DOS at the Fermi energy: 3.8 states/eV/cell

abc: 4.789 4.789 4.789
angles: 60.00 60.00 60.00
Positions (direct):
Pa (0.500, 0.500, 0.500)
Li (0.250, 0.250, 0.250)
Ho (0.000, 0.000, 0.000)
Fe (0.750, 0.750, 0.750)

***

Record 19
Below is TcPCl3 after structural relaxation, with properties calculated at the PBE-GGA level.

Properties
DOS at the Fermi energy: 4.5 states/eV/cell
raw total energy: -18.4 eV for the cell shown

abc: 4.734 4.734 4.734
angles: 90.00 90.00 90.00
Positions (direct):
P (0.500, 0.500, 0.500)
Tc (0.000, 0.000, 0.000)
Cl (0.000, 0.500, 0.000)
Cl (0.000, 0.000, 0.500)
Cl (0.500, 0.000, 0.000)

***

Record 20
Below is YScGaPb after structural relaxation, with properties calculated at the PBE-GGA level.

Properties
energy of formation: -0.39 eV/atom
DOS at the Fermi energy: 3.6 states/eV/cell

abc: 5.152 5.152 5.152
angles: 60.00 60.00 60.00
Positions (direct):
Pb (0.000, 0.000, 0.000)
Y (0.250, 0.250, 0.250)
Sc (0.750, 0.750, 0.750)
Ga (0.500, 0.500, 0.500)